Computed, not measured: BaSrTlSb after structural relaxation at the PBE level of DFT.

Cell lengths 5.9029, 5.9029, 5.9029 Å; angles 60.00, 60.00, 60.00 degrees
Last column: nearest neighbours and their distance in Å.
Atoms (fractional coordinates):
Ba 0.0000 0.0000 0.0000  4 Tl 3.61, 4 Sb 3.61
Sr 0.5000 0.5000 0.5000  4 Tl 3.61, 4 Sb 3.61
Tl 0.7500 0.7500 0.7500  4 Ba 3.61, 4 Sr 3.61
Sb 0.2500 0.2500 0.2500  4 Ba 3.61, 4 Sr 3.61

Calculated values
space-group type: F-43m
size of the total moment: 0.00 μB/atom
formation energy from raw total energies: -236 kJ/mol of formula units
Fermi-level density of states: 3.5 states/eV/cell

***

Computed, not measured: Ba2SrSbW after structural relaxation at the PBE level of DFT.

Cell lengths 6.3615, 6.3615, 5.0917 Å; angles 90.00, 90.00, 90.00 degrees
Last column: nearest neighbours and their distance in Å.
Atoms (fractional coordinates):
Ba 0.0000 0.5000 0.0000  2 Sr 3.18
Ba 0.5000 0.0000 0.0000  2 Sr 3.18
Sr 0.0000 0.0000 0.0000  2 W 2.55
Sb 0.5000 0.5000 0.5000  8 Ba 4.07, 4 W 4.50
W 0.0000 0.0000 0.5000  2 Sr 2.55

Calculated values
space-group type: P4/mmm
size of the total moment: 0.33 μB/atom
formation energy from raw total energies: 683 kJ/mol of formula units
Fermi-level density of states: 4.5 states/eV/cell

***

Computed, not measured: Ba2TaSb after structural relaxation at the PBE level of DFT.

Cell lengths 6.2545, 6.2545, 3.4421 Å; angles 90.00, 90.00, 111.20 degrees
Last column: nearest neighbours and their distance in Å.
Atoms (fractional coordinates):
Ba 0.0000 0.5000 0.0000  4 Ba 3.44-3.53, 4 Ta 3.57, 4 Sb 3.57
Ba 0.5000 0.0000 0.0000  4 Ba 3.44-3.53, 4 Ta 3.57, 4 Sb 3.57
Ta 0.0000 0.0000 0.5000  2 Ta 3.44, 2 Sb 3.53, 8 Ba 3.57
Sb 0.5000 0.5000 0.5000  2 Sb 3.44, 2 Ta 3.53, 8 Ba 3.57

Calculated values
space-group type: Cmmm
size of the total moment: 0.00 μB/atom
formation energy from raw total energies: 178 kJ/mol of formula units
Fermi-level density of states: 4.5 states/eV/cell

***

Computed, not measured: Ba2TaSb after structural relaxation at the PBE level of DFT.

Cell lengths 5.6722, 5.6722, 5.6722 Å; angles 60.00, 60.00, 60.00 degrees
Last column: nearest neighbours and their distance in Å.
Atoms (fractional coordinates):
Ba 0.0000 0.0000 0.0000  4 Ta 3.47, 4 Ba 3.47
Ba 0.2500 0.2500 0.2500  4 Sb 3.47, 4 Ba 3.47
Ta 0.7500 0.7500 0.7500  4 Ba 3.47, 4 Sb 3.47
Sb 0.5000 0.5000 0.5000  4 Ta 3.47, 4 Ba 3.47

Calculated values
space-group type: F-43m
size of the total moment: 1.04 μB/atom
formation energy from raw total energies: 220 kJ/mol of formula units
Fermi-level density of states: 3.2 states/eV/cell

***

Computed, not measured: Ba2TaSb after structural relaxation at the PBE level of DFT.

Cell lengths 3.4683, 3.4683, 10.7828 Å; angles 90.00, 90.00, 90.00 degrees
Last column: nearest neighbours and their distance in Å.
Atoms (fractional coordinates):
Ba 0.0000 0.0000 0.2480  4 Ba 3.47, 4 Ta 3.63, 4 Sb 3.66
Ba 0.0000 0.0000 0.7520  4 Ba 3.47, 4 Ta 3.63, 4 Sb 3.66
Ta 0.5000 0.5000 0.0000  4 Ta 3.47, 8 Ba 3.63
Sb 0.5000 0.5000 0.5000  4 Sb 3.47, 8 Ba 3.66

Calculated values
space-group type: P4/mmm
size of the total moment: 0.11 μB/atom
formation energy from raw total energies: 188 kJ/mol of formula units
Fermi-level density of states: 6.0 states/eV/cell

***

Computed, not measured: BaTa2Sb2 after structural relaxation at the PBE level of DFT.

Cell lengths 8.4492, 8.4492, 3.4778 Å; angles 90.00, 90.00, 90.00 degrees
Last column: nearest neighbours and their distance in Å.
Atoms (fractional coordinates):
Ba 0.0000 0.0000 0.0000  4 Ta 3.41, 2 Ba 3.48, 8 Sb 3.61
Ba 0.5000 0.5000 0.0000  4 Ta 3.41, 2 Ba 3.48, 8 Sb 3.61
Ta 0.1118 0.3882 0.0000  1 Ta 2.67, 4 Sb 2.94
Ta 0.3882 0.8882 0.0000  1 Ta 2.67, 4 Sb 2.94
Ta 0.6118 0.1118 0.0000  1 Ta 2.67, 4 Sb 2.94
Ta 0.8882 0.6118 0.0000  1 Ta 2.67, 4 Sb 2.94
Sb 0.1637 0.6637 0.5000  6 Ta 2.94-3.20
Sb 0.3363 0.1637 0.5000  6 Ta 2.94-3.20
Sb 0.6637 0.8363 0.5000  6 Ta 2.94-3.20
Sb 0.8363 0.3363 0.5000  6 Ta 2.94-3.20

Calculated values
space-group type: P4/mbm
size of the total moment: 0.00 μB/atom
energy above the lowest structure with this stoichiometry: 124 meV per atom
formation energy from raw total energies: 88 kJ/mol of formula units
Fermi-level density of states: 9.5 states/eV/cell

***

Computed, not measured: BaTaSb2 after structural relaxation at the PBE level of DFT.

Cell lengths 3.2493, 3.2493, 10.9455 Å; angles 90.00, 90.00, 90.00 degrees
Last column: nearest neighbours and their distance in Å.
Atoms (fractional coordinates):
Ba 0.0000 0.0000 0.0000  4 Ba 3.25, 4 Sb 3.62
Ta 0.5000 0.5000 0.7286  4 Sb 3.00, 4 Ta 3.25
Sb 0.0000 0.0000 0.5525  4 Ta 3.00, 4 Sb 3.25
Sb 0.5000 0.5000 0.2550  4 Sb 3.25, 4 Ba 3.62

Calculated values
space-group type: P4mm
size of the total moment: 0.00 μB/atom
energy above the lowest structure with this stoichiometry: 676 meV per atom
formation energy from raw total energies: 151 kJ/mol of formula units
Fermi-level density of states: 5.6 states/eV/cell

***

Computed, not measured: Ba2TaSb after structural relaxation at the PBE level of DFT.

Cell lengths 6.8835, 6.8835, 6.8835 Å; angles 144.24, 130.98, 62.14 degrees
Last column: nearest neighbours and their distance in Å.
Atoms (fractional coordinates):
Ba 0.0000 0.0000 0.0000  4 Ta 3.67, 4 Ba 3.72-4.10, 4 Sb 3.83-3.93
Ba 0.7023 0.2023 0.5000  4 Sb 3.64, 2 Ba 3.72, 4 Ta 3.86-3.92
Ta 0.4227 0.4227 0.0000  2 Sb 2.77
Sb 0.2705 0.7705 0.5000  2 Ta 2.77

Calculated values
space-group type: Imm2
size of the total moment: 0.50 μB/atom
formation energy from raw total energies: 90 kJ/mol of formula units
Fermi-level density of states: 3.6 states/eV/cell

***

Computed, not measured: Ba2TaSb after structural relaxation at the PBE level of DFT.

Cell lengths 6.1336, 6.1336, 6.1336 Å; angles 127.90, 127.90, 76.78 degrees
Last column: nearest neighbours and their distance in Å.
Atoms (fractional coordinates):
Ba 0.2500 0.7500 0.5000  4 Sb 3.61, 4 Ta 3.61, 4 Ba 3.81
Ba 0.7500 0.2500 0.5000  4 Sb 3.61, 4 Ta 3.61, 4 Ba 3.81
Ta 0.0000 0.0000 0.0000  8 Ba 3.61, 4 Sb 3.81
Sb 0.5000 0.5000 0.0000  8 Ba 3.61, 4 Ta 3.81

Calculated values
space-group type: I4/mmm
size of the total moment: 0.91 μB/atom
formation energy from raw total energies: 187 kJ/mol of formula units
Fermi-level density of states: 2.2 states/eV/cell

***

Computed, not measured: BaTaSb2 after structural relaxation at the PBE level of DFT.

Cell lengths 6.2581, 6.2581, 6.2581 Å; angles 136.87, 136.87, 62.63 degrees
Last column: nearest neighbours and their distance in Å.
Atoms (fractional coordinates):
Ba 0.0000 0.0000 0.0000  8 Sb 3.25-3.53, 4 Ta 3.53
Ta 0.7500 0.2500 0.5000  8 Sb 3.25-3.53, 4 Ba 3.53
Sb 0.2500 0.7500 0.5000  4 Ta 3.25, 4 Sb 3.53, 4 Ba 3.53
Sb 0.5000 0.5000 0.0000  4 Ba 3.25, 4 Ta 3.53, 4 Sb 3.53

Calculated values
space-group type: I-4m2
size of the total moment: 0.40 μB/atom
energy above the lowest structure with this stoichiometry: 704 meV per atom
formation energy from raw total energies: 162 kJ/mol of formula units
Fermi-level density of states: 4.6 states/eV/cell

***

Computed, not measured: Ba2TaSb after structural relaxation at the PBE level of DFT.

Cell lengths 4.6647, 6.9278, 6.9278 Å; angles 43.69, 90.00, 90.00 degrees
Last column: nearest neighbours and their distance in Å.
Atoms (fractional coordinates):
Ba 0.0000 0.0000 0.0000  4 Ta 3.64, 3 Sb 3.68-3.81
Ba 0.5000 0.2881 0.2881  4 Sb 3.64, 3 Ta 3.67-3.81
Ta 0.5000 0.5847 0.5847  2 Sb 2.79
Sb 0.0000 0.7038 0.7038  2 Ta 2.79

Calculated values
space-group type: Amm2
size of the total moment: 0.52 μB/atom
formation energy from raw total energies: 75 kJ/mol of formula units
Fermi-level density of states: 4.4 states/eV/cell

***

Computed, not measured: BaTaSb2 after structural relaxation at the PBE level of DFT.

Cell lengths 3.4486, 4.4117, 8.2885 Å; angles 90.00, 90.00, 90.00 degrees
Last column: nearest neighbours and their distance in Å.
Atoms (fractional coordinates):
Ba 0.0000 0.0000 0.0000  2 Ba 3.45, 5 Sb 3.48-3.49
Ta 0.5000 0.5000 0.5868  5 Sb 2.79-2.80
Sb 0.0000 0.0000 0.5803  4 Ta 2.80
Sb 0.5000 0.5000 0.2507  1 Ta 2.79

Calculated values
space-group type: Pmm2
size of the total moment: 0.00 μB/atom
energy above the lowest structure with this stoichiometry: 362 meV per atom
formation energy from raw total energies: 30 kJ/mol of formula units
Fermi-level density of states: 3.9 states/eV/cell

***

Computed, not measured: BaTaSb2 after structural relaxation at the PBE level of DFT.

Cell lengths 8.4701, 8.4701, 8.4701 Å; angles 28.36, 28.36, 28.36 degrees
Last column: nearest neighbours and their distance in Å.
Atoms (fractional coordinates):
Ba 0.0000 0.0000 0.0000  6 Sb 3.40-3.51
Ta 0.8289 0.8289 0.8289  6 Sb 2.85-2.89
Sb 0.2283 0.2283 0.2283  3 Ta 2.89
Sb 0.4325 0.4325 0.4325  3 Ta 2.85

Calculated values
space-group type: R3m
size of the total moment: 0.00 μB/atom
energy above the lowest structure with this stoichiometry: 7 meV per atom
formation energy from raw total energies: -107 kJ/mol of formula units
Fermi-level density of states: 3.4 states/eV/cell

***

Computed, not measured: BaTaSb2 after structural relaxation at the PBE level of DFT.

Cell lengths 5.1326, 6.9297, 6.9297 Å; angles 36.43, 90.00, 90.00 degrees
Last column: nearest neighbours and their distance in Å.
Atoms (fractional coordinates):
Ba 0.0000 0.0000 0.0000  7 Sb 3.53-3.80
Ta 0.5000 0.2288 0.2288  4 Sb 2.68-2.74
Sb 0.0000 0.2887 0.2887  2 Ta 2.68
Sb 0.5000 0.6008 0.6008  2 Ta 2.74

Calculated values
space-group type: Amm2
size of the total moment: 0.20 μB/atom
energy above the lowest structure with this stoichiometry: 239 meV per atom
formation energy from raw total energies: -18 kJ/mol of formula units
Fermi-level density of states: 3.2 states/eV/cell